(1)
The following is a DFT calculation (PBE) of a relaxed ZnH2I crystal.

Summary:
Theoretical density, Mg/m³: 5.09
Energy relative to the lowest polymorph listed for this composition, eV per atom: 0.152

abc: 5.6517 5.6517 7.9358
angles: 90.00 90.00 90.00
With the nearest neighbours (Å) after each atom.
Space group I4_1/amd (No. 141, origin choice 2)
Symmetry-distinct sites (fractional):
Zn  0.0000  0.2500  0.3750 x4  4 H 1.73
H  0.0000  0.0000  0.5000 x8  2 Zn 1.73
I  0.0000  0.2500  0.8750 x4  12 H 3.29-3.31, 4 Zn 3.45, 4 I 3.45


(2)
The following is a DFT calculation (PBE) of a relaxed Zn2CrPt crystal.

Summary:
Theoretical density, Mg/m³: 10.94
DFT formation energy, eV/f.u.: 0.01

abc: 2.7287 2.7287 26.6955
angles: 90.00 90.00 120.00
With the nearest neighbours (Å) after each atom.
Space group R3m (No. 160, hexagonal axes)
Symmetry-distinct sites (fractional):
Zn  0.0000  0.0000  0.0000 x3  3 Cr 2.65, 9 Zn 2.73-2.85
Zn  0.0000  0.0000  0.2443 x3  9 Zn 2.73-2.85, 3 Pt 2.78
Cr  0.0000  0.0000  0.7466 x3  3 Pt 2.62, 3 Zn 2.65, 6 Cr 2.73
Pt  0.0000  0.0000  0.4919 x3  3 Cr 2.62, 6 Pt 2.73, 3 Zn 2.78


(3)
The following is a DFT calculation (PBE) of a relaxed SrSiTe2 crystal.

Summary:
Theoretical density, Mg/m³: 5.25
Energy relative to the elements, uncorrected, eV/atom: -0.02

abc: 7.7718 7.7718 7.7718
angles: 90.00 90.00 90.00
With the nearest neighbours (Å) after each atom.
Space group F-43m (No. 216)
Symmetry-distinct sites (fractional):
Sr  0.0000  0.0000  0.0000 x4  4 Te 3.37, 4 Si 3.37
Si  0.2500  0.2500  0.7500 x4  4 Te 3.37, 4 Sr 3.37
Te  0.0000  0.0000  0.5000 x4  4 Si 3.37, 4 Te 3.37
Te  0.2500  0.2500  0.2500 x4  4 Te 3.37, 4 Sr 3.37


(4)
The following is a DFT calculation (PBE) of a relaxed PmB12Pb crystal.

Summary:
Theoretical density, Mg/m³: 5.51
DFT formation energy, eV/f.u.: -2.25

abc: 8.3458 8.3458 8.3458
angles: 90.00 90.00 90.00
With the nearest neighbours (Å) after each atom.
Space group Fm-3m (No. 225)
Symmetry-distinct sites (fractional):
Pm  0.0000  0.0000  0.0000 x4  24 B 3.07
B  0.1004  0.2500  0.2500 x48  5 B 1.68-1.77
Pb  0.0000  0.0000  0.5000 x4  24 B 3.07


(5)
The following is a DFT calculation (PBE) of a relaxed Sm2ZrSn crystal.

Summary:
Theoretical density, Mg/m³: 7.57
Energy relative to the lowest polymorph listed for this composition, eV per atom: 0.169
DFT formation energy, eV/f.u.: -0.61

abc: 7.6523 7.6523 7.6523
angles: 90.00 90.00 90.00
With the nearest neighbours (Å) after each atom.
Space group Fm-3m (No. 225)
Symmetry-distinct sites (fractional):
Sm  0.2500  0.2500  0.2500 x8  4 Zr 3.31, 4 Sn 3.31
Zr  0.0000  0.0000  0.0000 x4  8 Sm 3.31
Sn  0.0000  0.0000  0.5000 x4  8 Sm 3.31


(6)
The following is a DFT calculation (PBE) of a relaxed MgNbN2F crystal.

Summary:
Theoretical density, Mg/m³: 5.01
Energy relative to the lowest polymorph listed for this composition, eV per atom: 0.715
Energy relative to the elements, uncorrected, eV/atom: -0.06

abc: 3.9655 3.9655 3.4629
angles: 90.00 90.00 90.00
With the nearest neighbours (Å) after each atom.
Space group P4/mmm (No. 123)
Symmetry-distinct sites (fractional):
Mg  0.0000  0.0000  0.0000 x1  2 F 1.73
Nb  0.5000  0.5000  0.5000 x1  8 N 2.63, 4 F 2.80
N  0.0000  0.5000  0.0000 x2  2 Mg 1.98
F  0.0000  0.0000  0.5000 x1  2 Mg 1.73


Density of states at the Fermi level across the listed records, respectively: 0.643 1.095 0.659 0.216 1.218 0.632 states/eV/atom.